Below is a relaxed MnSiSb2 crystal, with properties calculated at the PBE-GGA level.

Cell lengths 3.8498, 5.2749, 8.3744 Å; angles 90.00, 90.00, 90.00 degrees
Last column: nearest neighbours and their distance in Å.
Positions (direct):
Mn 0.0000 0.0000 0.0000  4 Sb 2.91
Mn 0.5000 0.5000 0.5000  4 Sb 2.91
Si 0.0000 0.0000 0.5000  4 Sb 2.78
Si 0.5000 0.5000 0.0000  4 Sb 2.78
Sb 0.0000 0.5000 0.2398  2 Si 2.78, 2 Mn 2.91
Sb 0.0000 0.5000 0.7602  2 Si 2.78, 2 Mn 2.91
Sb 0.5000 0.0000 0.2602  2 Si 2.78, 2 Mn 2.91
Sb 0.5000 0.0000 0.7398  2 Si 2.78, 2 Mn 2.91

Magnetic moment: 3.6 μB/f.u.
Density of states at the Fermi level: 4.2 states/eV per cell
Crystal system: orthorhombic
Formation energy (no corrections): 0.4562 eV per atom

Below is a relaxed LaSb3 crystal, with properties calculated at the PBE-GGA level.

Cell lengths 6.7038, 6.7038, 5.9050 Å; angles 90.00, 90.00, 120.00 degrees
Last column: nearest neighbours and their distance in Å.
Positions (direct):
La 0.3333 0.6667 0.2500  12 Sb 3.35-3.48
La 0.6667 0.3333 0.7500  12 Sb 3.35-3.48
Sb 0.1741 0.3481 0.7500  8 Sb 3.20-3.58, 4 La 3.35-3.48
Sb 0.1741 0.8259 0.7500  8 Sb 3.20-3.58, 4 La 3.35-3.48
Sb 0.3481 0.1741 0.2500  8 Sb 3.20-3.58, 4 La 3.35-3.48
Sb 0.6519 0.8259 0.7500  8 Sb 3.20-3.58, 4 La 3.35-3.48
Sb 0.8259 0.1741 0.2500  8 Sb 3.20-3.58, 4 La 3.35-3.48
Sb 0.8259 0.6519 0.2500  8 Sb 3.20-3.58, 4 La 3.35-3.48

Magnetic moment: 0.0 μB/f.u.
Density of states at the Fermi level: 3.9 states/eV per cell
Crystal system: hexagonal
Formation energy (no corrections): -0.5692 eV per atom

Below is a relaxed BaBeTl2 crystal, with properties calculated at the PBE-GGA level.

Cell lengths 3.8239, 3.8239, 7.8863 Å; angles 90.00, 90.00, 90.00 degrees
Last column: nearest neighbours and their distance in Å.
Positions (direct):
Ba 0.0000 0.0000 0.0000  5 Tl 3.42-3.69, 4 Be 3.68, 4 Ba 3.82
Be 0.5000 0.5000 0.3167  5 Tl 2.86-2.88
Tl 0.0000 0.0000 0.4336  4 Be 2.86
Tl 0.5000 0.5000 0.6816  1 Be 2.88

Formation energy from the elements: 0.213 eV per atom
Magnetic moment: 0.0 μB/f.u.
Density of states at the Fermi level: 1.1 states/eV per cell
Crystal system: tetragonal

Below is a relaxed AgAs3Rh crystal, with properties calculated at the PBE-GGA level.

Cell lengths 4.8282, 4.8282, 4.8282 Å; angles 90.00, 90.00, 90.00 degrees
Last column: nearest neighbours and their distance in Å.
Positions (direct):
Ag 0.0000 0.0000 0.0000  12 As 3.41
As 0.0000 0.5000 0.5000  2 Rh 2.41
As 0.5000 0.0000 0.5000  2 Rh 2.41
As 0.5000 0.5000 0.0000  2 Rh 2.41
Rh 0.5000 0.5000 0.5000  6 As 2.41

Formation energy from the elements: 0.518 eV per atom
Magnetic moment: 0.0 μB/f.u.
Density of states at the Fermi level: 4.8 states/eV per cell
Crystal system: cubic